# 1
Computed, not measured: a relaxed Li2Pr3Ag3 crystal at the PBE level of DFT.

abc: 3.6541 5.3144 20.8682
angles: 90.00 90.00 90.00
Space group Immm (No. 71)
Asymmetric unit:
Li 0.0000 0.0000 0.2336 [4 per cell]
Pr 0.0000 0.0000 0.0000 [2 per cell]
Pr 0.0000 0.5000 0.1288 [4 per cell]
Ag 0.0000 0.0000 0.5000 [2 per cell]
Ag 0.0000 0.5000 0.3666 [4 per cell]

Electronic total energy: -0.128 Ha/atom
ΔH_f (0 K): -0.142 eV/atom
ρ: 6.230 Mg/m³

# 2
Computed, not measured: a relaxed Li2Pr2Ag3 crystal at the PBE level of DFT.

abc: 4.1746 19.7901 7.9649
angles: 90.00 90.00 90.00
Space group Cmcm (No. 63)
Asymmetric unit:
Li 0.0000 0.1920 0.0570 [8 per cell]
Pr 0.0000 0.3436 0.2500 [4 per cell]
Pr 0.0000 0.4470 0.7500 [4 per cell]
Ag 0.0000 0.0633 0.5693 [8 per cell]
Ag 0.0000 0.2793 0.7500 [4 per cell]

Electronic total energy: -0.122 Ha/atom
ΔH_f (0 K): -0.177 eV/atom
ρ: 6.251 Mg/m³

# 3
Computed, not measured: a relaxed LiPr4Ag5 crystal at the PBE level of DFT.

abc: 3.6694 3.6694 18.6553
angles: 90.00 90.00 90.00
Space group P4/mmm (No. 123)
Asymmetric unit:
Li 0.0000 0.0000 0.0000 [1 per cell]
Pr 0.0000 0.0000 0.1823 [2 per cell]
Pr 0.0000 0.0000 0.3942 [2 per cell]
Ag 0.5000 0.5000 0.0758 [2 per cell]
Ag 0.5000 0.5000 0.2890 [2 per cell]
Ag 0.5000 0.5000 0.5000 [1 per cell]

Electronic total energy: -0.137 Ha/atom
ΔH_f (0 K): -0.213 eV/atom
ρ: 7.337 Mg/m³